Entry 1:
# Y2Al2Cl

A PBEsol-optimized structure of Y2Al2Cl (meta-GGA SCAN, the Alexandria database). Values from VASP.

```
&SYSTEM
  ibrav = 0, nat = 5, ntyp = 3
/
ATOMIC_SPECIES
Y 88.91 Y.upf
Al 26.98 Al.upf
Cl 35.45 Cl.upf
CELL_PARAMETERS angstrom
-2.841 2.841 4.101
2.841 -2.841 4.101
2.841 2.841 -4.101
ATOMIC_POSITIONS crystal
Y 0.250 0.750 0.500
Y 0.750 0.250 0.500
Al 0.151 0.151 0.000
Al 0.849 0.849 0.000
Cl 0.500 0.500 0.000
```

Results
Its formation energy (no corrections) is -0.042 eV per atom. The calculation puts the total energy at -79.38 eV for the cell shown. Its density of states at the Fermi level is 4.361 states/eV per cell. The theoretical density is 3351 kg/m³.

---

Entry 2:
# KZnCu2

A PBEsol-optimized structure of KZnCu2 (meta-GGA SCAN, the Alexandria database). Values from VASP.

```
&SYSTEM
  ibrav = 0, nat = 4, ntyp = 3
/
ATOMIC_SPECIES
K 39.10 K.upf
Zn 65.41 Zn.upf
Cu 63.55 Cu.upf
CELL_PARAMETERS angstrom
2.726 0.000 0.000
0.000 3.661 0.000
0.000 0.000 7.207
ATOMIC_POSITIONS crystal
K 0.000 0.000 0.000
Zn 0.000 0.000 0.500
Cu 0.500 0.500 0.335
Cu 0.500 0.500 0.665
```

Results
The calculation puts the total energy at -51.04 eV for the cell shown. Its density of states at the Fermi level is 1.225 states/eV per cell. The calculation puts the formation energy at 0.3010 eV per atom. The theoretical density is 5347 kg/m³.